{
  "formula": "Ga2Fe2Re",
  "functional": "GGA-PBE",
  "state": "relaxed",
  "dos_ef_per_ev_cell": 6.9,
  "relative_energy_mev_per_atom": 90,
  "total_energy_ev_per_cell": -68.59,
  "space_group": "No. 127",
  "ef_kj_per_mol_atoms": 21.8,
  "density_g_cm3": 10.8,
  "lattice": [[-1.249, 5.974, 3.778], [-6.111, 1.016, -3.626], [-1.289, -1.396, 1.781]],
  "species": ["Ga", "Fe", "Fe", "Fe", "Ga", "Re", "Fe", "Ga", "Ga", "Re"],
  "fractional_positions": [[0.180, 0.680, 0.500], [0.383, 0.883, 0.000], [0.617, 0.117, 0.000], [0.117, 0.383, 0.000], [0.820, 0.320, 0.500], [0.500, 0.500, 0.000], [0.883, 0.617, 0.000], [0.680, 0.820, 0.500], [0.320, 0.180, 0.500], [0.000, 0.000, 0.000]]
}